Below is an optimized crystal structure of MoSe2I, with properties calculated at the PBEsol level.

Structure (POSCAR):
```
MoSe2I
1.0
-5.257 2.908 3.577
-1.220 -3.198 -6.026
-3.453 -6.079 -0.131
Se Mo I
4 2 2
direct
0.375 0.250 0.232 Se
0.875 0.250 0.518 Se
0.518 0.750 0.375 Se
0.232 0.750 0.875 Se
0.500 0.000 0.500 Mo
0.250 0.500 0.250 Mo
0.000 0.000 0.000 I
0.750 0.500 0.750 I
```

D(E_F) (states/eV/cell): 5.55
Size of the total moment (μB/atom): 0.000
Formation energy (no corrections) (eV/atom): 0.169
Space group: I-42d, No. 122